No. 1
VASP calculation (GGA-PBE) on a geometry-optimized La6Si2Te3Cl structure.

Unit cell a=10.062 b=10.062 c=9.024 alpha=104.11 beta=104.11 gamma=25.48
Positions (direct):
La 0.011 0.011 0.252
La 0.327 0.327 0.432
La 0.332 0.332 0.893
La 0.668 0.668 0.107
La 0.673 0.673 0.568
La 0.989 0.989 0.748
Si 0.165 0.165 0.329
Si 0.835 0.835 0.671
Te 0.163 0.163 0.834
Te 0.500 0.500 0.500
Te 0.837 0.837 0.166
Cl 0.500 0.500 0.000

Output
N(E_F) = 5.0 states/eV per cell

No. 2
VASP calculation (GGA-PBE) on a geometry-optimized La4SiTeCl2 structure.

Unit cell a=7.257 b=4.376 c=7.844 alpha=90.00 beta=109.84 gamma=90.00
Positions (direct):
La 0.240 0.000 0.221
La 0.257 0.500 0.781
La 0.743 0.500 0.219
La 0.760 0.000 0.779
Si 0.000 0.500 0.000
Te 0.000 0.000 0.500
Cl 0.500 0.000 0.000
Cl 0.500 0.500 0.500

Output
N(E_F) = 4.3 states/eV per cell

No. 3
VASP calculation (GGA-PBE) on a geometry-optimized La8SiTe4Cl3 structure.

Unit cell a=8.876 b=8.876 c=8.876 alpha=59.19 beta=59.19 gamma=59.19
Positions (direct):
La 0.242 0.242 0.242
La 0.249 0.737 0.737
La 0.263 0.263 0.751
La 0.263 0.751 0.263
La 0.737 0.249 0.737
La 0.737 0.737 0.249
La 0.751 0.263 0.263
La 0.758 0.758 0.758
Si 0.500 0.500 0.500
Te 0.000 0.000 0.000
Te 0.000 0.500 0.500
Te 0.500 0.000 0.500
Te 0.500 0.500 0.000
Cl 0.000 0.000 0.500
Cl 0.000 0.500 0.000
Cl 0.500 0.000 0.000

Output
N(E_F) = 10.3 states/eV per cell

No. 4
VASP calculation (GGA-PBE) on a geometry-optimized La3SiTeCl structure.

Unit cell a=8.908 b=4.502 c=9.784 alpha=90.00 beta=100.23 gamma=90.00
Positions (direct):
La 0.077 0.250 0.346
La 0.221 0.250 0.966
La 0.380 0.750 0.634
La 0.620 0.250 0.366
La 0.779 0.750 0.034
La 0.923 0.750 0.654
Si 0.157 0.250 0.658
Si 0.843 0.750 0.342
Te 0.331 0.750 0.284
Te 0.669 0.250 0.716
Cl 0.402 0.750 0.925
Cl 0.598 0.250 0.075

Output
N(E_F) = 7.6 states/eV per cell

No. 5
VASP calculation (GGA-PBE) on a geometry-optimized La8Si3Te4Cl structure.

Unit cell a=9.041 b=9.041 c=9.041 alpha=58.89 beta=58.89 gamma=58.89
Positions (direct):
La 0.231 0.747 0.747
La 0.242 0.242 0.242
La 0.253 0.253 0.769
La 0.253 0.769 0.253
La 0.747 0.231 0.747
La 0.747 0.747 0.231
La 0.758 0.758 0.758
La 0.769 0.253 0.253
Si 0.000 0.000 0.500
Si 0.000 0.500 0.000
Si 0.500 0.000 0.000
Te 0.000 0.000 0.000
Te 0.000 0.500 0.500
Te 0.500 0.000 0.500
Te 0.500 0.500 0.000
Cl 0.500 0.500 0.500

Output
N(E_F) = 5.4 states/eV per cell

No. 6
VASP calculation (GGA-PBE) on a geometry-optimized La4ZnSiCl2 structure.

Unit cell a=7.271 b=4.339 c=7.619 alpha=90.00 beta=109.87 gamma=90.00
Positions (direct):
La 0.244 0.000 0.239
La 0.249 0.500 0.757
La 0.751 0.500 0.243
La 0.756 0.000 0.761
Zn 0.000 0.000 0.500
Si 0.000 0.500 0.000
Cl 0.500 0.000 0.000
Cl 0.500 0.500 0.500

Output
N(E_F) = 5.3 states/eV per cell

No. 7
VASP calculation (GGA-PBE) on a geometry-optimized La2SmCl structure.

Unit cell a=10.723 b=10.723 c=10.723 alpha=20.15 beta=20.15 gamma=20.15
Positions (direct):
La 0.240 0.240 0.240
La 0.760 0.760 0.760
Sm 0.000 0.000 0.000
Cl 0.500 0.500 0.500

Output
N(E_F) = 3.5 states/eV per cell

No. 8
VASP calculation (GGA-PBE) on a geometry-optimized LaSmCl6 structure.

Unit cell a=7.560 b=7.560 c=7.560 alpha=54.61 beta=54.61 gamma=54.61
Positions (direct):
La 0.000 0.000 0.000
Sm 0.500 0.500 0.500
Cl 0.106 0.403 0.745
Cl 0.255 0.894 0.597
Cl 0.403 0.745 0.106
Cl 0.597 0.255 0.894
Cl 0.745 0.106 0.403
Cl 0.894 0.597 0.255

Output
N(E_F) = 0.0 states/eV per cell
Energy above the lowest structure with this stoichiometry = 0 meV per atom

No. 9
VASP calculation (GGA-PBE) on a geometry-optimized LaSm3Cl structure.

Unit cell a=5.456 b=5.456 c=5.456 alpha=90.00 beta=90.00 gamma=90.00
Positions (direct):
La 0.000 0.000 0.000
Sm 0.000 0.500 0.500
Sm 0.500 0.000 0.500
Sm 0.500 0.500 0.000
Cl 0.500 0.500 0.500

Output
N(E_F) = 4.7 states/eV per cell

No. 10
VASP calculation (GGA-PBE) on a geometry-optimized LaSmCl2 structure.

Unit cell a=9.178 b=9.178 c=9.178 alpha=22.61 beta=22.61 gamma=22.61
Positions (direct):
La 0.000 0.000 0.000
Sm 0.835 0.835 0.835
Cl 0.248 0.248 0.248
Cl 0.421 0.421 0.421

Output
N(E_F) = 1.7 states/eV per cell
Energy above the lowest structure with this stoichiometry = 0 meV per atom

No. 11
VASP calculation (GGA-PBE) on a geometry-optimized LaSm2Cl structure.

Unit cell a=11.597 b=11.597 c=11.597 alpha=17.33 beta=17.33 gamma=17.33
Positions (direct):
La 0.000 0.000 0.000
Sm 0.101 0.101 0.101
Sm 0.899 0.899 0.899
Cl 0.500 0.500 0.500

Output
N(E_F) = 5.5 states/eV per cell

No. 12
VASP calculation (GGA-PBE) on a geometry-optimized LaSmCl structure.

Unit cell a=3.788 b=3.788 c=7.434 alpha=90.00 beta=90.00 gamma=120.00
Positions (direct):
La 0.000 0.000 0.000
Sm 0.333 0.667 0.610
Cl 0.667 0.333 0.324

Output
N(E_F) = 3.4 states/eV per cell
Energy above the lowest structure with this stoichiometry = 35 meV per atom

No. 13
VASP calculation (GGA-PBE) on a geometry-optimized LaSmCl structure.

Unit cell a=10.028 b=10.028 c=13.559 alpha=131.94 beta=131.94 gamma=34.50
Positions (direct):
La 0.003 0.997 0.500
La 0.179 0.215 0.476
La 0.215 0.179 0.976
La 0.674 0.720 0.251
La 0.720 0.674 0.751
La 0.997 0.003 0.000
Sm 0.391 0.410 0.491
Sm 0.410 0.391 0.991
Sm 0.499 0.503 0.333
Sm 0.503 0.499 0.833
Sm 0.889 0.911 0.642
Sm 0.911 0.889 0.142
Cl 0.091 0.583 0.752
Cl 0.169 0.225 0.261
Cl 0.225 0.169 0.761
Cl 0.583 0.091 0.252
Cl 0.673 0.718 0.466
Cl 0.718 0.673 0.966

Output
N(E_F) = 15.3 states/eV per cell
Energy above the lowest structure with this stoichiometry = 0 meV per atom

No. 14
VASP calculation (GGA-PBE) on a geometry-optimized LaSmCl3 structure.

Unit cell a=8.136 b=8.136 c=10.808 alpha=116.72 beta=116.72 gamma=29.00
Positions (direct):
La 0.141 0.141 0.294
La 0.859 0.859 0.706
Sm 0.409 0.409 0.049
Sm 0.591 0.591 0.951
Cl 0.052 0.052 0.751
Cl 0.227 0.227 0.113
Cl 0.345 0.345 0.496
Cl 0.655 0.655 0.504
Cl 0.773 0.773 0.887
Cl 0.948 0.948 0.249

No. 15
VASP calculation (GGA-PBE) on a geometry-optimized LaSmCl2 structure.

Unit cell a=7.837 b=7.837 c=7.837 alpha=34.39 beta=34.39 gamma=34.39
Positions (direct):
La 0.000 0.000 0.000
Sm 0.500 0.500 0.500
Cl 0.127 0.127 0.127
Cl 0.873 0.873 0.873

Output
N(E_F) = 5.4 states/eV per cell
Energy above the lowest structure with this stoichiometry = 269 meV per atom

No. 16
VASP calculation (GGA-PBE) on a geometry-optimized LaSmCl6 structure.

Unit cell a=7.062 b=7.062 c=7.550 alpha=93.27 beta=93.27 gamma=120.56
Positions (direct):
La 0.000 0.000 0.000
Sm 0.000 0.000 0.500
Cl 0.002 0.290 0.274
Cl 0.290 0.002 0.274
Cl 0.293 0.293 0.772
Cl 0.707 0.707 0.228
Cl 0.710 0.998 0.726
Cl 0.998 0.710 0.726

Output
N(E_F) = 0.0 states/eV per cell
Energy above the lowest structure with this stoichiometry = 49 meV per atom

No. 17
VASP calculation (GGA-PBE) on a geometry-optimized La2SmCl8 structure.

Unit cell a=7.545 b=7.545 c=5.782 alpha=98.03 beta=98.03 gamma=111.97
Positions (direct):
La 0.187 0.813 0.000
La 0.813 0.187 0.000
Sm 0.500 0.500 0.500
Cl 0.151 0.151 0.308
Cl 0.168 0.428 0.881
Cl 0.278 0.722 0.500
Cl 0.428 0.168 0.881
Cl 0.572 0.832 0.119
Cl 0.722 0.278 0.500
Cl 0.832 0.572 0.119
Cl 0.849 0.849 0.692

Output
N(E_F) = 6.0 states/eV per cell

No. 18
VASP calculation (GGA-PBE) on a geometry-optimized La2Sm4Sn3Cl2 structure.

Unit cell a=12.839 b=12.839 c=12.839 alpha=156.38 beta=156.38 gamma=33.64
Positions (direct):
La 0.197 0.197 0.000
La 0.803 0.803 0.000
Sm 0.086 0.586 0.500
Sm 0.414 0.914 0.500
Sm 0.586 0.086 0.500
Sm 0.914 0.414 0.500
Sn 0.331 0.331 0.000
Sn 0.500 0.500 0.000
Sn 0.669 0.669 0.000
Cl 0.068 0.068 0.000
Cl 0.932 0.932 0.000

Output
N(E_F) = 11.6 states/eV per cell

No. 19
VASP calculation (GGA-PBE) on a geometry-optimized LaSmTe2Cl structure.

Unit cell a=4.444 b=4.444 c=15.158 alpha=90.00 beta=90.00 gamma=90.00
Positions (direct):
La 0.250 0.250 0.135
La 0.750 0.750 0.865
Sm 0.250 0.250 0.587
Sm 0.750 0.750 0.413
Te 0.250 0.250 0.377
Te 0.250 0.250 0.797
Te 0.750 0.750 0.203
Te 0.750 0.750 0.623
Cl 0.250 0.750 0.000
Cl 0.750 0.250 0.000

Output
N(E_F) = 3.1 states/eV per cell

No. 20
VASP calculation (GGA-PBE) on a geometry-optimized LaSn2Cl8 structure.

Unit cell a=7.648 b=7.648 c=8.139 alpha=107.06 beta=107.06 gamma=65.32
Positions (direct):
La 0.000 0.000 0.000
Sn 0.133 0.133 0.620
Sn 0.867 0.867 0.380
Cl 0.129 0.689 0.183
Cl 0.182 0.182 0.308
Cl 0.311 0.871 0.817
Cl 0.329 0.329 0.773
Cl 0.671 0.671 0.227
Cl 0.689 0.129 0.183
Cl 0.818 0.818 0.692
Cl 0.871 0.311 0.817

Output
N(E_F) = 6.2 states/eV per cell
Energy above the lowest structure with this stoichiometry = 9 meV per atom

| no. | formation energy from raw total energies (eV per formula unit) |
| --- | --- |
| 1 | -16.241 |
| 2 | -11.474 |
| 3 | -24.006 |
| 4 | -7.308 |
| 5 | -21.239 |
| 6 | -8.467 |
| 7 | -2.800 |
| 8 | -18.365 |
| 9 | -2.491 |
| 10 | -5.625 |
| 11 | -1.922 |
| 12 | -2.716 |
| 13 | -2.821 |
| 14 | -9.388 |
| 15 | -4.549 |
| 16 | -17.972 |
| 17 | -23.419 |
| 18 | -9.632 |
| 19 | -8.655 |
| 20 | -14.870 |